First-principles (GGA-PBE) data for a geometry-optimized Ce2ZnI structure, as listed in Alexandria via LeMat-Bulk.

Cell and atoms, written as CIF:
```
data_Ce2ZnI
_cell_length_a 3.637
_cell_length_b 3.637
_cell_length_c 8.168
_cell_angle_alpha 90.00
_cell_angle_beta 90.00
_cell_angle_gamma 90.00
_symmetry_space_group_name_H-M 'P 4/m m m'
_symmetry_Int_Tables_number 123
_symmetry_space_group_name_Hall '-P 4 2'
loop_
_atom_site_label
_atom_site_fract_x
_atom_site_fract_y
_atom_site_fract_z
Ce1 0.000 0.000 0.227
Zn1 0.500 0.500 0.000
I1 0.500 0.500 0.500
```

Output
Excess energy over the best structure of this formula in the dataset   0 meV/atom
Total DFT energy (no corrections)   -4.076 eV per atom
Calculated density   7.26 g cm⁻³
DOS(E_F)   11.9 states/eV per cell

=====

First-principles (GGA-PBE) data for a geometry-optimized ScCoSi4 structure, as listed in Alexandria via LeMat-Bulk.

Cell and atoms, written as CIF:
```
data_ScCoSi4
_cell_length_a 7.019
_cell_length_b 7.019
_cell_length_c 7.019
_cell_angle_alpha 90.00
_cell_angle_beta 90.00
_cell_angle_gamma 90.00
_symmetry_space_group_name_H-M 'F -4 3 m'
_symmetry_Int_Tables_number 216
_symmetry_space_group_name_Hall 'F -4 2 3'
loop_
_atom_site_label
_atom_site_fract_x
_atom_site_fract_y
_atom_site_fract_z
Sc1 0.000 0.000 0.000
Co1 0.250 0.250 0.250
Si1 0.124 0.124 0.624
```

Output
Total DFT energy (no corrections)   -5.773 eV per atom
Calculated density   4.15 g cm⁻³
DOS(E_F)   24.2 states/eV per cell

=====

First-principles (GGA-PBE) data for a geometry-optimized ZrRh3O structure, as listed in Alexandria via LeMat-Bulk.

Cell and atoms, written as CIF:
```
data_ZrRh3O
_cell_length_a 4.846
_cell_length_b 4.846
_cell_length_c 4.846
_cell_angle_alpha 90.00
_cell_angle_beta 90.00
_cell_angle_gamma 90.00
_symmetry_space_group_name_H-M 'P m -3 m'
_symmetry_Int_Tables_number 221
_symmetry_space_group_name_Hall '-P 4 2 3'
loop_
_atom_site_label
_atom_site_fract_x
_atom_site_fract_y
_atom_site_fract_z
Zr1 0.000 0.000 0.000
Rh1 0.000 0.000 0.500
O1 0.500 0.500 0.500
```

Output
Excess energy over the best structure of this formula in the dataset   1872 meV/atom
Total DFT energy (no corrections)   -5.560 eV per atom
Calculated density   6.07 g cm⁻³
DOS(E_F)   8.0 states/eV per cell

=====

First-principles (GGA-PBE) data for a geometry-optimized KRe2S4 structure, as listed in Alexandria via LeMat-Bulk.

Cell and atoms, written as CIF:
```
data_KRe2S4
_cell_length_a 15.389
_cell_length_b 3.581
_cell_length_c 5.588
_cell_angle_alpha 90.00
_cell_angle_beta 101.71
_cell_angle_gamma 90.00
_symmetry_space_group_name_H-M 'C 1 2/m 1'
_symmetry_Int_Tables_number 12
loop_
_symmetry_equiv_pos_as_xyz
'x,y,z'
'-x,-y,-z'
'-x,y,-z'
'x,-y,z'
'x+1/2,y+1/2,z'
'-x+1/2,-y+1/2,-z'
'-x+1/2,y+1/2,-z'
'x+1/2,-y+1/2,z'
loop_
_atom_site_label
_atom_site_fract_x
_atom_site_fract_y
_atom_site_fract_z
K1 0.000 0.000 0.000
Re1 0.245 0.500 0.691
S1 0.144 0.000 0.535
S2 0.172 0.500 0.050
```

Output
Excess energy over the best structure of this formula in the dataset   0 meV/atom
Total DFT energy (no corrections)   -6.686 eV per atom
Calculated density   5.95 g cm⁻³
DOS(E_F)   5.5 states/eV per cell

=====

First-principles (GGA-PBE) data for a geometry-optimized Ge3TeO structure, as listed in Alexandria via LeMat-Bulk.

Cell and atoms, written as CIF:
```
data_Ge3TeO
_cell_length_a 5.489
_cell_length_b 5.489
_cell_length_c 5.489
_cell_angle_alpha 90.00
_cell_angle_beta 90.00
_cell_angle_gamma 90.00
_symmetry_space_group_name_H-M 'P m -3 m'
_symmetry_Int_Tables_number 221
_symmetry_space_group_name_Hall '-P 4 2 3'
loop_
_atom_site_label
_atom_site_fract_x
_atom_site_fract_y
_atom_site_fract_z
Ge1 0.000 0.000 0.500
Te1 0.000 0.000 0.000
O1 0.500 0.500 0.500
```

Output
Excess energy over the best structure of this formula in the dataset   1365 meV/atom
Total DFT energy (no corrections)   -3.003 eV per atom
Calculated density   3.63 g cm⁻³
DOS(E_F)   11.7 states/eV per cell

=====

First-principles (GGA-PBE) data for a geometry-optimized La2Pm2SmY6 structure, as listed in Alexandria via LeMat-Bulk.

Cell and atoms, written as CIF:
```
data_La2Pm2SmY6
_cell_length_a 6.308
_cell_length_b 10.619
_cell_length_c 11.735
_cell_angle_alpha 90.00
_cell_angle_beta 97.42
_cell_angle_gamma 90.00
_symmetry_space_group_name_H-M 'C 1 2/m 1'
_symmetry_Int_Tables_number 12
loop_
_symmetry_equiv_pos_as_xyz
'x,y,z'
'-x,-y,-z'
'-x,y,-z'
'x,-y,z'
'x+1/2,y+1/2,z'
'-x+1/2,-y+1/2,-z'
'-x+1/2,y+1/2,-z'
'x+1/2,-y+1/2,z'
loop_
_atom_site_label
_atom_site_fract_x
_atom_site_fract_y
_atom_site_fract_z
La1 0.000 0.182 0.000
Pm1 0.000 0.337 0.500
Sm1 0.000 0.000 0.500
Y1 0.231 0.500 0.755
Y2 0.233 0.167 0.745
```

Output
ΔE_f   1.97 eV/f.u.
Total DFT energy (no corrections)   -5.535 eV per atom
Calculated density   5.33 g cm⁻³
DOS(E_F)   33.7 states/eV per cell

=====

First-principles (GGA-PBE) data for a geometry-optimized CsK2CdIn structure, as listed in Alexandria via LeMat-Bulk.

Cell and atoms, written as CIF:
```
data_CsK2CdIn
_cell_length_a 6.850
_cell_length_b 6.850
_cell_length_c 5.734
_cell_angle_alpha 90.00
_cell_angle_beta 90.00
_cell_angle_gamma 90.00
_symmetry_space_group_name_H-M 'P 4/m m m'
_symmetry_Int_Tables_number 123
_symmetry_space_group_name_Hall '-P 4 2'
loop_
_atom_site_label
_atom_site_fract_x
_atom_site_fract_y
_atom_site_fract_z
Cs1 0.000 0.000 0.000
K1 0.000 0.500 0.500
Cd1 0.500 0.500 0.500
In1 0.500 0.500 0.000
```

Output
ΔE_f   0.15 eV/f.u.
Total DFT energy (no corrections)   -1.311 eV per atom
Calculated density   2.71 g cm⁻³
DOS(E_F)   2.6 states/eV per cell

=====

First-principles (GGA-PBE) data for a geometry-optimized La6GaSi2 structure, as listed in Alexandria via LeMat-Bulk.

Cell and atoms, written as CIF:
```
data_La6GaSi2
_cell_length_a 9.977
_cell_length_b 10.320
_cell_length_c 10.507
_cell_angle_alpha 90.00
_cell_angle_beta 90.00
_cell_angle_gamma 90.00
_symmetry_space_group_name_H-M 'I m m m'
_symmetry_Int_Tables_number 71
_symmetry_space_group_name_Hall '-I 2 2'
loop_
_atom_site_label
_atom_site_fract_x
_atom_site_fract_y
_atom_site_fract_z
La1 0.000 0.201 0.248
La2 0.211 0.500 0.176
La3 0.233 0.322 0.500
Ga1 0.000 0.000 0.000
Ga2 0.000 0.000 0.500
Si1 0.000 0.374 0.000
Si2 0.000 0.500 0.387
```

Output
Excess energy over the best structure of this formula in the dataset   0 meV/atom
Total DFT energy (no corrections)   -5.315 eV per atom
Calculated density   5.89 g cm⁻³
DOS(E_F)   33.4 states/eV per cell